Record 1
Here is a relaxed structure of HfCoAsPd from OQMD via LeMat-Bulk. Energies are from PBE.

Values from the calculation:
Its volume is 15.75 A^3/atom. For the polymorph energy (0 for the lowest one), the calculation gives 31 meV per atom. As for the space group: F-43m (216).

Structure (POSCAR):
```
HfCoAsPd
1.0
-1.784 -4.062 -0.516
-0.428 -2.715 3.521
-4.052 -0.886 1.657
As Pd Hf Co
1 1 1 1
direct
0.000 0.000 0.000
0.500 0.500 0.500
0.250 0.250 0.250
0.750 0.750 0.750
```


Record 2
Here is a relaxed structure of HfCoAsPd from OQMD via LeMat-Bulk. Energies are from PBE.

Values from the calculation:
Its volume is 15.48 A^3/atom. For the polymorph energy (0 for the lowest one), the calculation gives 0 meV per atom. As for the space group: F-43m (216).

Structure (POSCAR):
```
HfCoAsPd
1.0
2.713 -3.443 0.708
-1.038 -3.053 3.053
-1.214 -4.080 -1.264
As Hf Co Pd
1 1 1 1
direct
0.000 0.000 0.000
0.500 0.500 0.500
0.750 0.750 0.750
0.250 0.250 0.250
```


Record 3
Here is a relaxed structure of HfCoAsPt from OQMD via LeMat-Bulk. Energies are from PBE.

Values from the calculation:
Its volume is 15.99 A^3/atom. For the polymorph energy (0 for the lowest one), the calculation gives 53 meV per atom. As for the space group: F-43m (216).

Structure (POSCAR):
```
HfCoAsPt
1.0
0.000 3.174 3.174
3.174 0.000 3.174
3.174 3.174 0.000
Pt Hf Co As
1 1 1 1
direct
0.250 0.250 0.250
0.500 0.500 0.500
0.750 0.750 0.750
0.000 0.000 0.000
```


Record 4
Here is a relaxed structure of HfCoAsPt from OQMD via LeMat-Bulk. Energies are from PBE.

Values from the calculation:
Its volume is 16.09 A^3/atom. For the polymorph energy (0 for the lowest one), the calculation gives 0 meV per atom. As for the space group: F-43m (216).

Structure (POSCAR):
```
HfCoAsPt
1.0
1.433 -4.197 -0.749
-2.881 -3.135 -1.450
0.301 -1.556 -4.210
Hf Co Pt As
1 1 1 1
direct
0.250 0.250 0.250
0.750 0.750 0.750
0.500 0.500 0.500
0.000 0.000 0.000
```


What is the formula in the third record? HfCoAsPt